No. 1
Compound: CsLiCaH
Source: Alexandria via LeMat-Bulk
Functional: GGA-PBE
Structure: relaxed

a = 3.9025 Å, b = 5.4581 Å, c = 7.4435 Å
α = 83.57°, β = 89.85°, γ = 89.98°
Space group P1 (No. 1)
One atom of each set of equivalent atoms:
Cs  0.0000  0.0000  0.0000
Li  0.0082  0.9964  0.5119
Ca  0.5073  0.4718  0.5141
H  0.0067  0.2856  0.6097

## Properties
density: 1.9 g/cm³
final energy: -2.019 eV per atom
total magnetic moment: 0.33 μB/cell

=====

No. 2
Compound: CdCoCl2
Source: Alexandria via LeMat-Bulk
Functional: GGA-PBE
Structure: relaxed

a = 4.1166 Å, b = 3.2944 Å, c = 7.2150 Å
α = 90.00°, β = 106.54°, γ = 90.00°
Space group Pm (No. 6)
One atom of each set of equivalent atoms:
Cd  0.0000  0.0000  0.0000
Co  0.5494  0.5000  0.0994
Cl  0.3922  0.5000  0.7780
Cl  0.6652  0.0000  0.3306

## Properties
density: 4.3 g/cm³
final energy: -3.221 eV per atom
total magnetic moment: 1.28 μB/cell
E_form (uncorrected): -292 meV/atom

=====

No. 3
Compound: Al3CdB4O12
Source: Alexandria via LeMat-Bulk
Functional: GGA-PBE
Structure: relaxed

a = 9.3578 Å, b = 9.3578 Å, c = 7.3526 Å
α = 90.00°, β = 90.00°, γ = 120.00°
Space group R32 (No. 155, hexagonal axes)
One atom of each set of equivalent atoms:
Al  0.0000  0.5575  0.0000
Cd  0.0000  0.0000  0.0000
B  0.0000  0.0000  0.5000
B  0.0000  0.4435  0.5000
O  0.0000  0.5917  0.5000
O  0.0000  0.8521  0.5000
O  0.0343  0.2207  0.1900

## Properties
density: 3.8 g/cm³
final energy: -7.349 eV per atom
total magnetic moment: 2.59 μB/cell
E_form (uncorrected): -2432 meV/atom

=====

No. 4
Compound: CuNi
Source: Alexandria via LeMat-Bulk
Functional: GGA-PBE
Structure: relaxed

a = 2.4736 Å, b = 10.3948 Å, c = 6.0050 Å
α = 90.00°, β = 90.00°, γ = 90.00°
Space group Amm2 (No. 38)
One atom of each set of equivalent atoms:
Cu  0.0000  0.0000  0.0000
Cu  0.0000  0.2470  0.4320
Ni  0.0000  0.0000  0.3964
Ni  0.5000  0.1121  0.6876

## Properties
formation energy: 6.63 kcal/mol of atoms
density: 7.9 g/cm³
final energy: -4.651 eV per atom
total magnetic moment: 1.95 μB/cell

=====

No. 5
Compound: TbPr7Y12
Source: Alexandria via LeMat-Bulk
Functional: GGA-PBE
Structure: relaxed

a = 12.1060 Å, b = 12.1060 Å, c = 16.4490 Å
α = 90.00°, β = 90.00°, γ = 120.00°
Space group R-3 (No. 148, hexagonal axes)
One atom of each set of equivalent atoms:
Tb  0.0000  0.0000  0.0000
Pr  0.0000  0.0000  0.5000
Pr  0.0556  0.1867  0.7893
Y  0.0269  0.4489  0.7212
Y  0.0538  0.5859  0.0832

## Properties
formation energy: 5.23 kcal/mol of atoms
density: 5.3 g/cm³
final energy: -5.556 eV per atom
total magnetic moment: 0.00 μB/cell

=====

No. 6
Compound: Mn8Mo3Ru
Source: Alexandria via LeMat-Bulk
Functional: GGA-PBE
Structure: relaxed

a = 4.6856 Å, b = 4.6856 Å, c = 7.7225 Å
α = 90.00°, β = 90.00°, γ = 120.00°
Space group P3m1 (No. 156)
One atom of each set of equivalent atoms:
Mn  0.0000  0.0000  0.0000
Mn  0.0000  0.0000  0.5002
Mn  0.1726  0.3452  0.2495
Mn  0.3455  0.1727  0.7515
Mo  0.3333  0.6667  0.5659
Mo  0.3333  0.6667  0.9384
Mo  0.6667  0.3333  0.4312
Ru  0.6667  0.3333  0.0696

## Properties
formation energy: -1.63 kcal/mol of atoms
density: 9.4 g/cm³
final energy: -9.665 eV per atom
total magnetic moment: 0.00 μB/cell

=====

No. 7
Compound: ErZn2Hg
Source: Alexandria via LeMat-Bulk
Functional: GGA-PBE
Structure: relaxed

a = 3.5507 Å, b = 20.4333 Å, c = 4.5115 Å
α = 90.00°, β = 90.00°, γ = 90.00°
Space group Cmcm (No. 63)
One atom of each set of equivalent atoms:
Er  0.0000  0.0948  0.2500
Zn  0.0000  0.2656  0.7500
Zn  0.0000  0.4728  0.2500
Hg  0.0000  0.3411  0.2500

## Properties
formation energy: -6.51 kcal/mol of atoms
density: 10.1 g/cm³
final energy: -2.135 eV per atom
total magnetic moment: 0.00 μB/cell

=====

No. 8
Compound: PmNd4Sm3Se8
Source: Alexandria via LeMat-Bulk
Functional: GGA-PBE
Structure: relaxed

a = 8.4039 Å, b = 8.4039 Å, c = 20.6505 Å
α = 90.00°, β = 90.00°, γ = 120.00°
Space group R-3m (No. 166, hexagonal axes)
One atom of each set of equivalent atoms:
Pm  0.0000  0.0000  0.0000
Nd  0.0000  0.0000  0.5000
Nd  0.0000  0.5000  0.5000
Sm  0.0000  0.5000  0.0000
Se  0.0000  0.0000  0.2518
Se  0.0009  0.5004  0.2516

## Properties
density: 7.1 g/cm³
final energy: -5.941 eV per atom
total magnetic moment: 0.00 μB/cell
E_form (uncorrected): -1826 meV/atom

=====

No. 9
Compound: KAsRu2
Source: Alexandria via LeMat-Bulk
Functional: GGA-PBE
Structure: relaxed

a = 10.2005 Å, b = 2.9296 Å, c = 6.3612 Å
α = 90.00°, β = 109.41°, γ = 90.00°
Space group C2/m (No. 12)
One atom of each set of equivalent atoms:
K  0.0000  0.0000  0.0000
As  0.0000  0.5000  0.5000
Ru  0.1977  0.0000  0.6181

## Properties
formation energy: 9.91 kcal/mol of atoms
density: 5.9 g/cm³
final energy: -5.645 eV per atom
total magnetic moment: 0.00 μB/cell

=====

No. 10
Compound: TlHgI2
Source: Alexandria via LeMat-Bulk
Functional: GGA-PBE
Structure: relaxed

a = 8.2706 Å, b = 8.2706 Å, c = 8.2706 Å
α = 90.00°, β = 90.00°, γ = 90.00°
Space group Fm-3m (No. 225)
One atom of each set of equivalent atoms:
Tl  0.0000  0.0000  0.0000
Hg  0.0000  0.0000  0.5000
I  0.2500  0.2500  0.2500

## Properties
density: 7.7 g/cm³
final energy: -1.687 eV per atom
total magnetic moment: 0.00 μB/cell
E_form (uncorrected): -245 meV/atom

=====

No. 11
Compound: Er3TmAg2
Source: Alexandria via LeMat-Bulk
Functional: GGA-PBE
Structure: relaxed

a = 3.5804 Å, b = 3.5804 Å, c = 12.1072 Å
α = 90.00°, β = 90.00°, γ = 90.00°
Space group P4/mmm (No. 123)
One atom of each set of equivalent atoms:
Er  0.0000  0.0000  0.0000
Er  0.0000  0.0000  0.3004
Tm  0.5000  0.5000  0.5000
Ag  0.5000  0.5000  0.1501

## Properties
formation energy: -4.75 kcal/mol of atoms
density: 9.5 g/cm³
final energy: -4.183 eV per atom
total magnetic moment: 0.00 μB/cell

=====

No. 12
Compound: In2Ni3Se2
Source: Alexandria via LeMat-Bulk
Functional: GGA-PBE
Structure: relaxed

a = 5.4638 Å, b = 5.4638 Å, c = 14.3539 Å
α = 90.00°, β = 90.00°, γ = 120.00°
Space group R-3m (No. 166, hexagonal axes)
One atom of each set of equivalent atoms:
In  0.0000  0.0000  0.0000
In  0.0000  0.0000  0.5000
Ni  0.0000  0.5000  0.0000
Se  0.0000  0.0000  0.2173

## Properties
density: 7.6 g/cm³
final energy: -4.569 eV per atom
total magnetic moment: 0.00 μB/cell
E_form (uncorrected): -313 meV/atom